Run a
First-principles (GGA-PBE) data for crystalline HfScGa2 at its relaxed geometry, as listed in Alexandria.

```
data_HfScGa2
_chemical_formula_sum 'Hf1 Sc1 Ga2'
_symmetry_space_group_name_H-M 'P 4/m m m'
_symmetry_Int_Tables_number 123
_symmetry_space_group_name_Hall '-P 4 2'
_cell_length_a 4.3596
_cell_length_b 4.3596
_cell_length_c 3.9168
_cell_angle_alpha 90.00
_cell_angle_beta 90.00
_cell_angle_gamma 90.00
loop_
_atom_site_label
_atom_site_type_symbol
_atom_site_fract_x
_atom_site_fract_y
_atom_site_fract_z
_atom_site_occupancy
Hf1 Hf 0.0000 0.0000 0.0000 1
Sc1 Sc 0.5000 0.5000 0.0000 1
Ga1 Ga 0.0000 0.5000 0.5000 1
```

Summary:
The value obtained for the magnetic moment is 0.0000 μB/atom. The mass density is 8.09 Mg/m³.

***

Run b
First-principles (GGA-PBE) data for crystalline HfScGa2 at its relaxed geometry, as listed in Alexandria.

```
data_HfScGa2
_chemical_formula_sum 'Hf4 Sc4 Ga8'
_symmetry_space_group_name_H-M 'F m -3 m'
_symmetry_Int_Tables_number 225
_symmetry_space_group_name_Hall '-F 4 2 3'
_cell_length_a 6.7007
_cell_length_b 6.7007
_cell_length_c 6.7007
_cell_angle_alpha 90.00
_cell_angle_beta 90.00
_cell_angle_gamma 90.00
loop_
_atom_site_label
_atom_site_type_symbol
_atom_site_fract_x
_atom_site_fract_y
_atom_site_fract_z
_atom_site_occupancy
Hf1 Hf 0.0000 0.0000 0.0000 1
Sc1 Sc 0.0000 0.0000 0.5000 1
Ga1 Ga 0.2500 0.2500 0.2500 1
```

Summary:
The value obtained for the magnetic moment is 0.0000 μB/atom. The mass density is 8.01 Mg/m³.

***

Stability ranking, top entry: run a; the second entry is 50 meV/atom less favorable.

***

Run a
First-principles (GGA-PBE) data for crystalline HfScGa2 at its relaxed geometry, as listed in Alexandria.

```
data_HfScGa2
_chemical_formula_sum 'Hf2 Sc2 Ga4'
_symmetry_space_group_name_H-M 'A m m 2'
_symmetry_Int_Tables_number 38
_cell_length_a 3.7862
_cell_length_b 4.0300
_cell_length_c 10.1637
_cell_angle_alpha 90.00
_cell_angle_beta 90.00
_cell_angle_gamma 90.00
loop_
_symmetry_equiv_pos_as_xyz
'x,y,z'
'-x,-y,z'
'-x,y,z'
'x,-y,z'
'x,y+1/2,z+1/2'
'-x,-y+1/2,z+1/2'
'-x,y+1/2,z+1/2'
'x,-y+1/2,z+1/2'
loop_
_atom_site_label
_atom_site_type_symbol
_atom_site_fract_x
_atom_site_fract_y
_atom_site_fract_z
_atom_site_occupancy
Hf1 Hf 0.0000 0.0000 0.0000 1
Sc1 Sc 0.5000 0.0000 0.7211 1
Ga1 Ga 0.0000 0.0000 0.2779 1
Ga2 Ga 0.5000 0.0000 0.4473 1
```

Summary:
The value obtained for the magnetic moment is 0.0000 μB/atom. The mass density is 7.77 Mg/m³.

***

Run b
First-principles (GGA-PBE) data for crystalline HfScGa2 at its relaxed geometry, as listed in Alexandria.

```
data_HfScGa2
_chemical_formula_sum 'Hf4 Sc4 Ga8'
_symmetry_space_group_name_H-M 'I -4 2 d'
_symmetry_Int_Tables_number 122
_symmetry_space_group_name_Hall 'I -4 2bw'
_cell_length_a 7.4018
_cell_length_b 7.4018
_cell_length_c 5.9527
_cell_angle_alpha 90.00
_cell_angle_beta 90.00
_cell_angle_gamma 90.00
loop_
_atom_site_label
_atom_site_type_symbol
_atom_site_fract_x
_atom_site_fract_y
_atom_site_fract_z
_atom_site_occupancy
Hf1 Hf 0.0000 0.0000 0.0000 1
Sc1 Sc 0.0000 0.0000 0.5000 1
Ga1 Ga 0.2505 0.2500 0.1250 1
```

Summary:
The value obtained for the magnetic moment is 0.0002 μB/atom. The mass density is 7.39 Mg/m³.

***

Stability ranking, top entry: run a; the second entry is 417 meV/atom less favorable.

***

Run a
First-principles (GGA-PBE) data for crystalline HfScGa2 at its relaxed geometry, as listed in Alexandria.

```
data_HfScGa2
_chemical_formula_sum 'Hf3 Sc3 Ga6'
_symmetry_space_group_name_H-M 'R -3 m'
_symmetry_Int_Tables_number 166
_symmetry_space_group_name_Hall '-R 3 2"'
_cell_length_a 3.2897
_cell_length_b 3.2897
_cell_length_c 25.7260
_cell_angle_alpha 90.00
_cell_angle_beta 90.00
_cell_angle_gamma 120.00
loop_
_atom_site_label
_atom_site_type_symbol
_atom_site_fract_x
_atom_site_fract_y
_atom_site_fract_z
_atom_site_occupancy
Hf1 Hf 0.0000 0.0000 0.0000 1
Sc1 Sc 0.0000 0.0000 0.5000 1
Ga1 Ga 0.0000 0.0000 0.2497 1
```

Summary:
The value obtained for the magnetic moment is 0.0000 μB/atom. The mass density is 7.50 Mg/m³.

***

Run b
First-principles (GGA-PBE) data for crystalline HfScGa2 at its relaxed geometry, as listed in Alexandria.

```
data_HfScGa2
_chemical_formula_sum 'Hf1 Sc1 Ga2'
_symmetry_space_group_name_H-M 'P 4/m m m'
_symmetry_Int_Tables_number 123
_symmetry_space_group_name_Hall '-P 4 2'
_cell_length_a 3.0554
_cell_length_b 3.0554
_cell_length_c 7.9868
_cell_angle_alpha 90.00
_cell_angle_beta 90.00
_cell_angle_gamma 90.00
loop_
_atom_site_label
_atom_site_type_symbol
_atom_site_fract_x
_atom_site_fract_y
_atom_site_fract_z
_atom_site_occupancy
Hf1 Hf 0.0000 0.0000 0.0000 1
Sc1 Sc 0.0000 0.0000 0.5000 1
Ga1 Ga 0.5000 0.5000 0.2488 1
```

Summary:
The value obtained for the magnetic moment is 0.0585 μB/atom. The mass density is 8.08 Mg/m³.

***

Stability ranking, top entry: run b; the second entry is 154 meV/atom less favorable.

***

Run a
First-principles (GGA-PBE) data for crystalline HfGa3Se at its relaxed geometry, as listed in Alexandria.

```
data_HfGa3Se
_chemical_formula_sum 'Hf1 Ga3 Se1'
_symmetry_space_group_name_H-M 'P m -3 m'
_symmetry_Int_Tables_number 221
_symmetry_space_group_name_Hall '-P 4 2 3'
_cell_length_a 5.2944
_cell_length_b 5.2944
_cell_length_c 5.2944
_cell_angle_alpha 90.00
_cell_angle_beta 90.00
_cell_angle_gamma 90.00
loop_
_atom_site_label
_atom_site_type_symbol
_atom_site_fract_x
_atom_site_fract_y
_atom_site_fract_z
_atom_site_occupancy
Hf1 Hf 0.0000 0.0000 0.0000 1
Ga1 Ga 0.0000 0.0000 0.5000 1
Se1 Se 0.5000 0.5000 0.5000 1
```

Summary:
The value obtained for the magnetic moment is 0.0000 μB/atom. The mass density is 5.22 Mg/m³.

***

Run b
First-principles (GGA-PBE) data for crystalline HfGa3Se at its relaxed geometry, as listed in Alexandria.

```
data_HfGa3Se
_chemical_formula_sum 'Hf1 Ga3 Se1'
_symmetry_space_group_name_H-M 'P m -3 m'
_symmetry_Int_Tables_number 221
_symmetry_space_group_name_Hall '-P 4 2 3'
_cell_length_a 4.8912
_cell_length_b 4.8912
_cell_length_c 4.8912
_cell_angle_alpha 90.00
_cell_angle_beta 90.00
_cell_angle_gamma 90.00
loop_
_atom_site_label
_atom_site_type_symbol
_atom_site_fract_x
_atom_site_fract_y
_atom_site_fract_z
_atom_site_occupancy
Hf1 Hf 0.0000 0.0000 0.0000 1
Ga1 Ga 0.0000 0.5000 0.5000 1
Se1 Se 0.5000 0.5000 0.5000 1
```

Summary:
The value obtained for the magnetic moment is 0.0000 μB/atom. The mass density is 6.62 Mg/m³.

***

Stability ranking, top entry: run a; the second entry is 15 meV/atom less favorable.

***

Run a
First-principles (GGA-PBE) data for crystalline HfGaSi at its relaxed geometry, as listed in Alexandria.

```
data_HfGaSi
_chemical_formula_sum 'Hf4 Ga4 Si4'
_symmetry_space_group_name_H-M 'C m c m'
_symmetry_Int_Tables_number 63
_symmetry_space_group_name_Hall '-C 2c 2'
_cell_length_a 3.7885
_cell_length_b 14.4956
_cell_length_c 3.7449
_cell_angle_alpha 90.00
_cell_angle_beta 90.00
_cell_angle_gamma 90.00
loop_
_atom_site_label
_atom_site_type_symbol
_atom_site_fract_x
_atom_site_fract_y
_atom_site_fract_z
_atom_site_occupancy
Hf1 Hf 0.0000 0.0945 0.2500 1
Ga1 Ga 0.0000 0.2477 0.7500 1
Si1 Si 0.0000 0.4401 0.2500 1
```

Summary:
The value obtained for the magnetic moment is 0.0000 μB/atom. The mass density is 8.92 Mg/m³.

***

Run b
First-principles (GGA-PBE) data for crystalline HfGaSi at its relaxed geometry, as listed in Alexandria.

```
data_HfGaSi
_chemical_formula_sum 'Hf4 Ga4 Si4'
_symmetry_space_group_name_H-M 'C m m m'
_symmetry_Int_Tables_number 65
_symmetry_space_group_name_Hall '-C 2 2'
_cell_length_a 3.8839
_cell_length_b 13.8379
_cell_length_c 3.8578
_cell_angle_alpha 90.00
_cell_angle_beta 90.00
_cell_angle_gamma 90.00
loop_
_atom_site_label
_atom_site_type_symbol
_atom_site_fract_x
_atom_site_fract_y
_atom_site_fract_z
_atom_site_occupancy
Hf1 Hf 0.0000 0.1383 0.0000 1
Ga1 Ga 0.0000 0.3107 0.5000 1
Si1 Si 0.0000 0.0000 0.5000 1
Si2 Si 0.0000 0.5000 0.0000 1
```

Summary:
The value obtained for the magnetic moment is 0.0000 μB/atom. The mass density is 8.85 Mg/m³.

***

Stability ranking, top entry: run a; the second entry is 117 meV/atom less favorable.

***

Run a
First-principles (GGA-PBE) data for crystalline HfGaSi at its relaxed geometry, as listed in Alexandria.

```
data_HfGaSi
_chemical_formula_sum 'Hf2 Ga2 Si2'
_symmetry_space_group_name_H-M 'P 1 2/c 1'
_symmetry_Int_Tables_number 13
_cell_length_a 2.9734
_cell_length_b 6.8578
_cell_length_c 5.0901
_cell_angle_alpha 90.00
_cell_angle_beta 93.31
_cell_angle_gamma 90.00
loop_
_symmetry_equiv_pos_as_xyz
'x,y,z'
'-x,-y,-z'
'-x,y,-z+1/2'
'x,-y,z+1/2'
loop_
_atom_site_label
_atom_site_type_symbol
_atom_site_fract_x
_atom_site_fract_y
_atom_site_fract_z
_atom_site_occupancy
Hf1 Hf 0.0000 0.1786 0.2500 1
Ga1 Ga 0.5000 0.5000 0.0000 1
Si1 Si 0.5000 0.1562 0.7500 1
```

Summary:
The value obtained for the magnetic moment is 0.0000 μB/atom. The mass density is 8.86 Mg/m³.

***

Run b
First-principles (GGA-PBE) data for crystalline HfGaSi at its relaxed geometry, as listed in Alexandria.

```
data_HfGaSi
_chemical_formula_sum 'Hf2 Ga2 Si2'
_symmetry_space_group_name_H-M 'P 4/n m m'
_symmetry_Int_Tables_number 129
_cell_length_a 3.7900
_cell_length_b 3.7900
_cell_length_c 7.3519
_cell_angle_alpha 90.00
_cell_angle_beta 90.00
_cell_angle_gamma 90.00
loop_
_symmetry_equiv_pos_as_xyz
'x,y,z'
'-x,-y,-z'
'-y+1/2,x,z'
'y+1/2,-x,-z'
'-x+1/2,-y+1/2,z'
'x+1/2,y+1/2,-z'
'y,-x+1/2,z'
'-y,x+1/2,-z'
'x+1/2,-y,-z'
'-x+1/2,y,z'
'-y,-x,-z'
'y,x,z'
'-x,y+1/2,-z'
'x,-y+1/2,z'
'y+1/2,x+1/2,-z'
'-y+1/2,-x+1/2,z'
loop_
_atom_site_label
_atom_site_type_symbol
_atom_site_fract_x
_atom_site_fract_y
_atom_site_fract_z
_atom_site_occupancy
Hf1 Hf 0.2500 0.2500 0.1750 1
Ga1 Ga 0.2500 0.7500 0.5000 1
Si1 Si 0.2500 0.2500 0.8130 1
```

Summary:
The value obtained for the magnetic moment is 0.0000 μB/atom. The mass density is 8.69 Mg/m³.

***

Stability ranking, top entry: run b; the second entry is 37 meV/atom less favorable.

***

Run a
First-principles (GGA-PBE) data for crystalline HfGaSi at its relaxed geometry, as listed in Alexandria.

```
data_HfGaSi
_chemical_formula_sum 'Hf8 Ga8 Si8'
_symmetry_space_group_name_H-M 'F d d 2'
_symmetry_Int_Tables_number 43
_symmetry_space_group_name_Hall 'F 2 -2d'
_cell_length_a 5.1810
_cell_length_b 9.1776
_cell_length_c 8.7928
_cell_angle_alpha 90.00
_cell_angle_beta 90.00
_cell_angle_gamma 90.00
loop_
_atom_site_label
_atom_site_type_symbol
_atom_site_fract_x
_atom_site_fract_y
_atom_site_fract_z
_atom_site_occupancy
Hf1 Hf 0.0000 0.0000 0.0000 1
Ga1 Ga 0.0000 0.0000 0.3425 1
Si1 Si 0.0000 0.0000 0.6687 1
```

Summary:
The value obtained for the magnetic moment is 0.0000 μB/atom. The mass density is 8.78 Mg/m³.

***

Run b
First-principles (GGA-PBE) data for crystalline HfGaSi at its relaxed geometry, as listed in Alexandria.

```
data_HfGaSi
_chemical_formula_sum 'Hf4 Ga4 Si4'
_symmetry_space_group_name_H-M 'C m m m'
_symmetry_Int_Tables_number 65
_symmetry_space_group_name_Hall '-C 2 2'
_cell_length_a 3.7658
_cell_length_b 14.1400
_cell_length_c 3.8372
_cell_angle_alpha 90.00
_cell_angle_beta 90.00
_cell_angle_gamma 90.00
loop_
_atom_site_label
_atom_site_type_symbol
_atom_site_fract_x
_atom_site_fract_y
_atom_site_fract_z
_atom_site_occupancy
Hf1 Hf 0.0000 0.1499 0.0000 1
Ga1 Ga 0.0000 0.0000 0.5000 1
Ga2 Ga 0.0000 0.5000 0.0000 1
Si1 Si 0.0000 0.3099 0.5000 1
```

Summary:
The value obtained for the magnetic moment is 0.0000 μB/atom. The mass density is 8.98 Mg/m³.

***

Stability ranking, top entry: run b; the second entry is 129 meV/atom less favorable.

***

Run a
First-principles (GGA-PBE) data for crystalline Hf2GaSi at its relaxed geometry, as listed in Alexandria.

```
data_Hf2GaSi
_chemical_formula_sum 'Hf6 Ga3 Si3'
_symmetry_space_group_name_H-M 'R -3 m'
_symmetry_Int_Tables_number 166
_symmetry_space_group_name_Hall '-R 3 2"'
_cell_length_a 4.2851
_cell_length_b 4.2851
_cell_length_c 14.1424
_cell_angle_alpha 90.00
_cell_angle_beta 90.00
_cell_angle_gamma 120.00
loop_
_atom_site_label
_atom_site_type_symbol
_atom_site_fract_x
_atom_site_fract_y
_atom_site_fract_z
_atom_site_occupancy
Hf1 Hf 0.0000 0.0000 0.2479 1
Ga1 Ga 0.0000 0.0000 0.0000 1
Si1 Si 0.0000 0.0000 0.5000 1
```

Summary:
The value obtained for the magnetic moment is 0.0000 μB/atom. The mass density is 10.07 Mg/m³.

***

Run b
First-principles (GGA-PBE) data for crystalline Hf2GaSi at its relaxed geometry, as listed in Alexandria.

```
data_Hf2GaSi
_chemical_formula_sum 'Hf8 Ga4 Si4'
_symmetry_space_group_name_H-M 'F m -3 m'
_symmetry_Int_Tables_number 225
_symmetry_space_group_name_Hall '-F 4 2 3'
_cell_length_a 6.6248
_cell_length_b 6.6248
_cell_length_c 6.6248
_cell_angle_alpha 90.00
_cell_angle_beta 90.00
_cell_angle_gamma 90.00
loop_
_atom_site_label
_atom_site_type_symbol
_atom_site_fract_x
_atom_site_fract_y
_atom_site_fract_z
_atom_site_occupancy
Hf1 Hf 0.2500 0.2500 0.2500 1
Ga1 Ga 0.0000 0.0000 0.0000 1
Si1 Si 0.0000 0.0000 0.5000 1
```

Summary:
The value obtained for the magnetic moment is 0.0000 μB/atom. The mass density is 10.39 Mg/m³.

***

Run c
First-principles (GGA-PBE) data for crystalline Hf2GaSi at its relaxed geometry, as listed in Alexandria.

```
data_Hf2GaSi
_chemical_formula_sum 'Hf4 Ga2 Si2'
_symmetry_space_group_name_H-M 'P 1 21/m 1'
_symmetry_Int_Tables_number 11
_cell_length_a 5.3501
_cell_length_b 3.7779
_cell_length_c 7.5711
_cell_angle_alpha 90.00
_cell_angle_beta 110.21
_cell_angle_gamma 90.00
loop_
_symmetry_equiv_pos_as_xyz
'x,y,z'
'-x,-y,-z'
'-x,y+1/2,-z'
'x,-y+1/2,z'
loop_
_atom_site_label
_atom_site_type_symbol
_atom_site_fract_x
_atom_site_fract_y
_atom_site_fract_z
_atom_site_occupancy
Hf1 Hf 0.2038 0.2500 0.4230 1
Hf2 Hf 0.2742 0.7500 0.0680 1
Ga1 Ga 0.3798 0.7500 0.7085 1
Si1 Si 0.1327 0.2500 0.7918 1
```

Summary:
The value obtained for the magnetic moment is 0.0000 μB/atom. The mass density is 10.52 Mg/m³.

***

Stability ranking, top entry: run c; the second entry is 297 meV/atom less favorable.